DFT (GGA-PBE) results for a geometry-optimized Er4Mg5Pb structure.

## Properties
Crystal system ... monoclinic
Calculated total energy ... -31.39 eV/cell

Unit cell a=8.237 b=8.237 c=6.524 alpha=104.12 beta=104.12 gamma=37.34
Fractional coordinates of all 10 atoms:
Er 0.100 0.100 0.395
Er 0.303 0.303 0.196
Er 0.697 0.697 0.804
Er 0.900 0.900 0.605
Mg 0.100 0.100 0.916
Mg 0.299 0.299 0.704
Mg 0.500 0.500 0.000
Mg 0.701 0.701 0.296
Mg 0.900 0.900 0.084
Pb 0.500 0.500 0.500